Record 1
The following is a PBE calculation of a relaxed structure of RbSc2Pb2, from Alexandria via LeMat-Bulk.

Lattice parameters (Å, degrees): 5.555 5.555 11.576 90.00 90.00 90.00
Fractional coordinates of all 10 atoms:
Rb 0.000 0.000 0.000
Rb 0.500 0.500 0.500
Sc 0.000 0.000 0.338
Sc 0.000 0.000 0.662
Sc 0.500 0.500 0.162
Sc 0.500 0.500 0.838
Pb 0.000 0.500 0.250
Pb 0.000 0.500 0.750
Pb 0.500 0.000 0.250
Pb 0.500 0.000 0.750

Properties
* offset from the most stable computed form: 0.254 eV per atom
* symmetry: I4/mmm, No. 139
* DOS(E_F): 3.070 states/eV/f.u.

=====

Record 2
The following is a PBE calculation of a relaxed structure of RbSc3Pb, from Alexandria via LeMat-Bulk.

Lattice parameters (Å, degrees): 5.153 5.153 5.153 90.00 90.00 90.00
Fractional coordinates of all 5 atoms:
Rb 0.000 0.000 0.000
Sc 0.000 0.000 0.500
Sc 0.000 0.500 0.000
Sc 0.500 0.000 0.000
Pb 0.500 0.500 0.500

Properties
* offset from the most stable computed form: 0.762 eV per atom
* symmetry: Pm-3m, No. 221
* DOS(E_F): 3.860 states/eV/f.u.

=====

Record 3
The following is a PBE calculation of a relaxed structure of RbSc2Pb2, from Alexandria via LeMat-Bulk.

Lattice parameters (Å, degrees): 5.131 5.131 13.091 90.00 90.00 90.00
Fractional coordinates of all 10 atoms:
Rb 0.000 0.000 0.000
Rb 0.500 0.500 0.500
Sc 0.000 0.500 0.250
Sc 0.000 0.500 0.750
Sc 0.500 0.000 0.250
Sc 0.500 0.000 0.750
Pb 0.000 0.000 0.370
Pb 0.000 0.000 0.630
Pb 0.500 0.500 0.130
Pb 0.500 0.500 0.870

Properties
* offset from the most stable computed form: 0.098 eV per atom
* symmetry: I4/mmm, No. 139
* DOS(E_F): 5.473 states/eV/f.u.